The following is a DFT calculation (PBE) of a relaxed AcTb4SmHo2 crystal.

- theoretical density (Mg/m³) = 8.35
- formation energy (eV per atom) = 0.0389
- total moment (μB per formula unit) = 0.00
- E (eV/cell) = -36.19

abc: 5.128 5.103 11.410
angles: 63.42 90.00 90.00
Atoms (fractional coordinates):
Ho1 0.500 0.000 0.500
Ho2 0.000 0.000 0.000
Ac1 0.500 0.500 0.000
Tb1 0.000 0.757 0.743
Tb2 0.500 0.742 0.258
Tb3 0.000 0.243 0.257
Tb4 0.500 0.258 0.742
Sm1 0.000 0.500 0.500

The following is a DFT calculation (PBE) of a relaxed AcDyScAl crystal.

- theoretical density (Mg/m³) = 6.93
- formation energy (eV per atom) = 0.0947
- total moment (μB per formula unit) = 0.01
- E (eV/cell) = -18.41

abc: 5.387 5.387 5.387
angles: 60.00 60.00 60.00
Atoms (fractional coordinates):
Dy1 0.500 0.500 0.500
Sc1 0.000 0.000 0.000
Al1 0.250 0.250 0.250
Ac1 0.750 0.750 0.750

The following is a DFT calculation (PBE) of a relaxed SmTiIn2 crystal.

- theoretical density (Mg/m³) = 7.50
- formation energy (eV per atom) = -0.2195
- total moment (μB per formula unit) = 0.94
- E (eV/cell) = -18.97

abc: 3.659 3.659 7.077
angles: 90.00 90.00 90.00
Last column: magnetic moment on the atom in μB.
Atoms (fractional coordinates):
Ti1 0.500 0.500 0.000  0.87
In1 0.000 0.000 0.787  0.00
In2 0.000 0.000 0.213  0.00
Sm1 0.500 0.500 0.500  -0.08

The following is a DFT calculation (PBE) of a relaxed TmCo2H7 crystal.

- theoretical density (Mg/m³) = 7.14
- total moment (μB per formula unit) = 0.00
- E (eV/cell) = -44.28

abc: 3.418 4.711 4.711
angles: 115.73 90.00 90.00
Atoms (fractional coordinates):
H1 0.500 0.328 0.052
H2 0.500 0.672 0.948
H3 0.500 0.052 0.328
H4 0.000 0.304 0.696
H5 0.500 0.948 0.672
H6 0.500 0.500 0.500
H7 0.000 0.696 0.304
Co1 0.500 0.698 0.302
Co2 0.500 0.302 0.698
Tm1 0.000 0.000 0.000

The following is a DFT calculation (PBE) of a relaxed Mg2BeFe crystal.

- theoretical density (Mg/m³) = 3.17
- formation energy (eV per atom) = 0.3619
- total moment (μB per formula unit) = 2.13
- E (eV/cell) = -13.93

abc: 3.825 2.800 6.232
angles: 62.96 90.00 90.00
Last column: magnetic moment on the atom in μB.
Atoms (fractional coordinates):
Mg1 0.000 0.502 0.500  -0.02
Mg2 0.000 0.998 0.000  -0.02
Be1 0.500 0.250 0.250  -0.02
Fe1 0.500 0.750 0.750  2.29

The following is a DFT calculation (PBE) of a relaxed Sr5Mg3 crystal.

- theoretical density (Mg/m³) = 2.60
- formation energy (eV per atom) = 0.0081
- energy above the lowest structure with this stoichiometry (eV per atom) = 0.0524
- total moment (μB per formula unit) = 0.00
- E (eV/cell) = -13.13

abc: 7.534 7.534 5.975
angles: 90.00 90.00 105.68
Atoms (fractional coordinates):
Sr1 0.719 0.719 0.500
Sr2 0.281 0.281 0.500
Sr3 0.000 0.000 0.000
Sr4 0.500 0.000 0.000
Sr5 0.000 0.500 0.000
Mg1 0.229 0.771 0.500
Mg2 0.771 0.229 0.500
Mg3 0.500 0.500 0.000

The following is a DFT calculation (PBE) of a relaxed LiTiZnW2 crystal.

- theoretical density (Mg/m³) = 10.53
- formation energy (eV per atom) = 1.2346
- total moment (μB per formula unit) = 0.00
- E (eV/cell) = -30.82

abc: 4.272 4.216 4.272
angles: 90.00 90.00 90.00
Atoms (fractional coordinates):
Li1 0.000 0.000 0.000
Ti1 0.000 0.500 0.000
W1 0.000 0.000 0.500
W2 0.500 0.000 0.000
Zn1 0.500 0.500 0.500

The following is a DFT calculation (PBE) of a relaxed ZrRe2Sb crystal.

- theoretical density (Mg/m³) = 11.80
- raw formation energy (eV per formula unit) = 2.36
- total moment (μB per formula unit) = 0.00
- E (eV/cell) = -70.41

abc: 3.997 3.997 10.692
angles: 79.23 79.23 90.00
Atoms (fractional coordinates):
Re1 0.375 0.443 0.750
Re2 0.875 0.807 0.750
Re3 0.193 0.625 0.250
Re4 0.557 0.125 0.250
Zr1 0.500 0.500 0.000
Zr2 0.250 0.750 0.500
Sb1 0.750 0.250 0.500
Sb2 0.000 0.000 0.000

The following is a DFT calculation (PBE) of a relaxed Ba2AgAs crystal.

- theoretical density (Mg/m³) = 6.06
- formation energy (eV per atom) = -0.1997
- total moment (μB per formula unit) = 0.00
- E (eV/cell) = -12.14

abc: 5.619 5.619 5.619
angles: 60.00 60.00 60.00
Atoms (fractional coordinates):
As1 0.750 0.750 0.750
Ba1 0.250 0.250 0.250
Ba2 0.000 0.000 0.000
Ag1 0.500 0.500 0.500

The following is a DFT calculation (PBE) of a relaxed BaPaRhSe4 crystal.

- theoretical density (Mg/m³) = 7.20
- raw formation energy (eV per formula unit) = -8.44
- total moment (μB per formula unit) = 0.00
- E (eV/cell) = -82.30

abc: 6.889 6.094 8.997
angles: 90.00 105.88 90.00
Atoms (fractional coordinates):
Pa1 0.259 0.250 0.552
Pa2 0.741 0.750 0.448
Se1 0.448 0.750 0.614
Se2 0.031 0.513 0.718
Se3 0.442 0.750 0.156
Se4 0.031 0.987 0.718
Se5 0.969 0.013 0.282
Se6 0.969 0.487 0.282
Se7 0.558 0.250 0.844
Se8 0.552 0.250 0.386
Rh1 0.758 0.250 0.647
Rh2 0.242 0.750 0.353
Ba1 0.246 0.250 0.053
Ba2 0.754 0.750 0.947

The following is a DFT calculation (PBE) of a relaxed Zr2BeTc2 crystal.

- theoretical density (Mg/m³) = 6.26
- formation energy (eV per atom) = 0.8495
- energy above the lowest structure with this stoichiometry (eV per atom) = 0.9058
- total moment (μB per formula unit) = 0.00
- E (eV/cell) = -37.31

abc: 6.221 6.221 6.221
angles: 138.97 138.97 59.42
Atoms (fractional coordinates):
Tc1 0.609 0.609 0.000
Tc2 0.391 0.391 0.000
Zr1 0.250 0.750 0.500
Zr2 0.750 0.250 0.500
Be1 0.000 0.000 0.000

The following is a DFT calculation (PBE) of a relaxed CdInW2 crystal.

- theoretical density (Mg/m³) = 12.88
- formation energy (eV per atom) = 0.4703
- energy above the lowest structure with this stoichiometry (eV per atom) = 0.0460
- total moment (μB per formula unit) = 0.00
- E (eV/cell) = -27.68

abc: 3.301 3.301 7.039
angles: 90.00 90.00 90.00
Atoms (fractional coordinates):
W1 0.000 0.000 0.035
W2 0.500 0.500 0.215
In1 0.500 0.500 0.771
Cd1 0.000 0.000 0.479